Record 1
Tb2SmIn3 PBE-GGA relaxed; density of states at the Fermi level = 0.5744 states/eV/atom; calculated total energy = -4.181 eV/atom; mass density = 8.25 g/cm3; space group = P4/mmm, No. 123; M_tot = 0.00 μB per atom
1.0
3.775 0.000 0.000
0.000 3.775 0.000
0.000 0.000 11.480
In Tb Sm
3 2 1
Direct
0.000 0.000 0.328
0.000 0.000 0.672
0.000 0.000 0.000
0.500 0.500 0.836
0.500 0.500 0.164
0.500 0.500 0.500

---

Record 2
ScCuRe4 PBE-GGA relaxed; density of states at the Fermi level = 0.7795 states/eV/atom; calculated total energy = -9.852 eV/atom; mass density = 14.11 g/cm3; space group = F-43m, No. 216; M_tot = 0.00 μB per atom
1.0
0.000 3.690 3.690
3.690 0.000 3.690
3.690 3.690 0.000
Sc Re Cu
1 4 1
Direct
0.750 0.750 0.750
0.877 0.374 0.374
0.374 0.374 0.374
0.374 0.374 0.877
0.374 0.877 0.374
0.000 0.000 0.000

---

Record 3
Mn2PbSe2 PBE-GGA relaxed; density of states at the Fermi level = 0.6423 states/eV/atom; calculated total energy = -5.796 eV/atom; mass density = 7.93 g/cm3; formation energy from raw total energies = 8 meV per atom; space group = P4/mbm, No. 127; M_tot = 1.54 μB per atom
1.0
7.602 0.000 0.000
0.000 7.602 0.000
0.000 0.000 3.442
Se Mn Pb
4 4 2
Direct
0.348 0.152 0.500
0.652 0.848 0.500
0.848 0.348 0.500
0.152 0.652 0.500
0.134 0.366 0.000
0.366 0.866 0.000
0.634 0.134 0.000
0.866 0.634 0.000
0.500 0.500 0.000
0.000 0.000 0.000

---

Record 4
InSiRuO PBE-GGA relaxed; density of states at the Fermi level = 0.3264 states/eV/atom; calculated total energy = -6.216 eV/atom; mass density = 6.79 g/cm3; formation energy from raw total energies = -617 meV per atom; space group = P1, No. 1; M_tot = 0.00 μB per atom
1.0
-1.517 -1.087 2.362
-1.881 -3.892 -1.794
3.646 -2.629 1.061
Si O In Ru
1 1 1 1
Direct
0.119 0.120 0.440
0.616 0.073 0.233
0.409 0.586 0.952
0.895 0.639 0.460